No. 1
Density functional theory data (GGA-PBE) for a relaxed structure of Zn3ReIr.

**Density of states at the Fermi level**: 3.131 states/eV/f.u.
**Offset from the most stable computed form**: 0.000 eV per atom
**Formation energy**: 611 kJ/mol of formula units
**Theoretical density**: 9.1 g/cm³
**Total magnetic moment**: 4.3 μB/cell

Unit cell a=4.7191 b=4.7191 c=4.7191 alpha=90.00 beta=90.00 gamma=90.00
Closest atoms and distances in Å follow each position.
Space group Pm-3m (No. 221)
Inequivalent atoms, fractional coordinates:
1 Zn 0.0000 0.0000 0.5000  2 Ir 2.36
2 Re 0.5000 0.5000 0.5000  12 Zn 3.34
3 Ir 0.0000 0.0000 0.0000  6 Zn 2.36

***

No. 2
Density functional theory data (GGA-PBE) for a relaxed structure of Zn2ReIr.

**Density of states at the Fermi level**: 3.574 states/eV/f.u.
**Offset from the most stable computed form**: 0.315 eV per atom
**Formation energy**: 93 kJ/mol of formula units
**Theoretical density**: 14.6 g/cm³
**Total magnetic moment**: 0.0 μB/cell

Unit cell a=2.7489 b=3.9371 c=5.3548 alpha=90.00 beta=90.00 gamma=90.00
Closest atoms and distances in Å follow each position.
Space group Pmmm (No. 47)
Inequivalent atoms, fractional coordinates:
1 Zn 0.0000 0.0000 0.2453  4 Zn 2.63-2.75, 4 Ir 2.74, 4 Re 2.76
2 Re 0.5000 0.5000 0.5000  2 Ir 2.68, 2 Re 2.75, 8 Zn 2.76
3 Ir 0.5000 0.5000 0.0000  2 Re 2.68, 8 Zn 2.74, 2 Ir 2.75

***

No. 3
Density functional theory data (GGA-PBE) for a relaxed structure of ZnReIr2.

**Density of states at the Fermi level**: 2.515 states/eV/f.u.
**Offset from the most stable computed form**: 0.229 eV per atom
**Formation energy**: -2 kJ/mol of formula units
**Theoretical density**: 18.2 g/cm³
**Total magnetic moment**: 0.0 μB/cell

Unit cell a=9.0539 b=2.7234 c=4.7517 alpha=90.00 beta=98.52 gamma=90.00
Closest atoms and distances in Å follow each position.
Space group C2/m (No. 12)
Inequivalent atoms, fractional coordinates:
1 Zn 0.0000 0.0000 0.0000  6 Ir 2.69-2.78, 2 Zn 2.72, 4 Re 2.74
2 Re 0.0000 0.5000 0.5000  2 Re 2.72, 6 Ir 2.72-2.73, 4 Zn 2.74
3 Ir 0.2471 0.0000 0.7472  3 Zn 2.69-2.78, 6 Ir 2.72-2.75, 3 Re 2.72-2.73

***

No. 4
Density functional theory data (GGA-PBE) for a relaxed structure of Zn2ReIr.

**Density of states at the Fermi level**: 4.259 states/eV/f.u.
**Offset from the most stable computed form**: 0.321 eV per atom
**Formation energy**: 96 kJ/mol of formula units
**Theoretical density**: 14.5 g/cm³
**Total magnetic moment**: 0.0 μB/cell

Unit cell a=5.2658 b=8.1191 c=2.7277 alpha=90.00 beta=90.00 gamma=90.00
Closest atoms and distances in Å follow each position.
Space group Cmmm (No. 65)
Inequivalent atoms, fractional coordinates:
1 Zn 0.2500 0.2500 0.0000  4 Zn 2.63-2.73, 4 Re 2.78, 4 Ir 2.78
2 Re 0.0000 0.0000 0.5000  2 Ir 2.63, 2 Re 2.73, 8 Zn 2.78
3 Ir 0.0000 0.5000 0.5000  2 Re 2.63, 2 Ir 2.73, 8 Zn 2.78

***

No. 5
Density functional theory data (GGA-PBE) for a relaxed structure of ZnReIr2.

**Density of states at the Fermi level**: 3.023 states/eV/f.u.
**Offset from the most stable computed form**: 0.376 eV per atom
**Formation energy**: 54 kJ/mol of formula units
**Theoretical density**: 18.4 g/cm³
**Total magnetic moment**: 0.0 μB/cell

Unit cell a=2.8629 b=4.5613 c=8.8128 alpha=90.00 beta=90.00 gamma=90.00
Closest atoms and distances in Å follow each position.
Space group Immm (No. 71)
Inequivalent atoms, fractional coordinates:
1 Zn 0.0000 0.0000 0.0000  4 Ir 2.54, 4 Re 2.69
2 Re 0.0000 0.0000 0.5000  4 Zn 2.69, 4 Ir 2.72, 2 Re 2.86
3 Ir 0.0000 0.5000 0.2625  2 Zn 2.54, 4 Ir 2.70, 2 Re 2.72

***

No. 6
Density functional theory data (GGA-PBE) for a relaxed structure of ZnReIr2.

**Density of states at the Fermi level**: 3.832 states/eV/f.u.
**Offset from the most stable computed form**: 0.299 eV per atom
**Formation energy**: 25 kJ/mol of formula units
**Theoretical density**: 18.2 g/cm³
**Total magnetic moment**: 0.0 μB/cell

Unit cell a=3.8046 b=3.8046 c=8.0057 alpha=90.00 beta=90.00 gamma=90.00
Closest atoms and distances in Å follow each position.
Space group I-4m2 (No. 119)
Inequivalent atoms, fractional coordinates:
1 Zn 0.0000 0.0000 0.0000  8 Ir 2.69-2.76, 4 Re 2.76
2 Re 0.0000 0.5000 0.2500  8 Ir 2.69-2.76, 4 Zn 2.76
3 Ir 0.0000 0.0000 0.5000  4 Zn 2.69, 4 Re 2.76, 4 Ir 2.76
4 Ir 0.0000 0.5000 0.7500  4 Re 2.69, 4 Ir 2.76, 4 Zn 2.76

***

No. 7
Density functional theory data (GGA-PBE) for a relaxed structure of ZnReIr2.

**Density of states at the Fermi level**: 3.733 states/eV/f.u.
**Offset from the most stable computed form**: 0.176 eV per atom
**Formation energy**: -23 kJ/mol of formula units
**Theoretical density**: 18.1 g/cm³
**Total magnetic moment**: 0.0 μB/cell

Unit cell a=9.1198 b=2.7635 c=4.6988 alpha=90.00 beta=99.49 gamma=90.00
Closest atoms and distances in Å follow each position.
Space group Cm (No. 8)
Inequivalent atoms, fractional coordinates:
1 Zn 0.0000 0.0000 0.0000  7 Ir 2.58-2.76, 2 Zn 2.76, 1 Re 2.77
2 Re 0.2626 0.5000 0.3012  7 Ir 2.64-2.76, 2 Re 2.76, 3 Zn 2.77-2.92
3 Ir 0.0061 0.5000 0.4931  3 Re 2.64, 4 Zn 2.69-2.76, 4 Ir 2.76-2.81
4 Ir 0.2485 0.0000 0.8046  3 Zn 2.58-2.71, 4 Re 2.70-2.76, 4 Ir 2.76-2.81

***

No. 8
Density functional theory data (GGA-PBE) for a relaxed structure of ZrZnReIr2.

**Density of states at the Fermi level**: 5.131 states/eV/f.u.
**Formation energy**: 438 kJ/mol of formula units
**Theoretical density**: 11.6 g/cm³
**Total magnetic moment**: 0.0 μB/cell

Unit cell a=4.7448 b=4.7448 c=4.6385 alpha=90.00 beta=90.00 gamma=90.00
Closest atoms and distances in Å follow each position.
Space group P4/mmm (No. 123)
Inequivalent atoms, fractional coordinates:
1 Zr 0.0000 0.0000 0.0000  8 Ir 3.32, 4 Zn 3.36
2 Zn 0.5000 0.5000 0.0000  2 Re 2.32
3 Re 0.5000 0.5000 0.5000  2 Zn 2.32, 4 Ir 2.37
4 Ir 0.0000 0.5000 0.5000  2 Re 2.37

***

No. 9
Density functional theory data (GGA-PBE) for a relaxed structure of ZrRe2Ir.

**Density of states at the Fermi level**: 5.056 states/eV/f.u.
**Offset from the most stable computed form**: 0.206 eV per atom
**Formation energy**: 26 kJ/mol of formula units
**Theoretical density**: 16.7 g/cm³
**Total magnetic moment**: 0.0 μB/cell

Unit cell a=2.8339 b=2.8339 c=28.0968 alpha=90.00 beta=90.00 gamma=120.00
Closest atoms and distances in Å follow each position.
Space group R3m (No. 160, hexagonal axes)
Inequivalent atoms, fractional coordinates:
1 Zr 0.0000 0.0000 0.0000  6 Zr 2.83, 3 Ir 2.95, 3 Re 3.07
2 Re 0.0000 0.0000 0.2410  9 Re 2.68-2.83
3 Re 0.0000 0.0000 0.4987  9 Re 2.68-2.83, 3 Ir 2.74
4 Ir 0.0000 0.0000 0.7539  3 Re 2.74, 6 Ir 2.83, 3 Zr 2.95

***

No. 10
Density functional theory data (GGA-PBE) for a relaxed structure of ZrRe2Ir.

**Density of states at the Fermi level**: 4.744 states/eV/f.u.
**Offset from the most stable computed form**: 0.305 eV per atom
**Formation energy**: 64 kJ/mol of formula units
**Theoretical density**: 16.7 g/cm³
**Total magnetic moment**: 0.0 μB/cell

Unit cell a=2.7957 b=2.7957 c=28.9898 alpha=90.00 beta=90.00 gamma=120.00
Closest atoms and distances in Å follow each position.
Space group R-3m (No. 166, hexagonal axes)
Inequivalent atoms, fractional coordinates:
1 Zr 0.0000 0.0000 0.0000  6 Zr 2.80, 6 Re 3.09
2 Re 0.0000 0.0000 0.2426  3 Ir 2.73, 6 Re 2.80
3 Ir 0.0000 0.0000 0.5000  6 Re 2.73, 6 Ir 2.80

***

No. 11
Density functional theory data (GGA-PBE) for a relaxed structure of ZrRe2Ir.

**Density of states at the Fermi level**: 4.308 states/eV/f.u.
**Offset from the most stable computed form**: 0.078 eV per atom
**Formation energy**: -24 kJ/mol of formula units
**Theoretical density**: 16.7 g/cm³
**Total magnetic moment**: 0.0 μB/cell

Unit cell a=3.9525 b=4.1539 c=7.9574 alpha=90.00 beta=90.00 gamma=90.00
Closest atoms and distances in Å follow each position.
Space group Imm2 (No. 44)
Inequivalent atoms, fractional coordinates:
1 Zr 0.0000 0.0000 0.0000  8 Re 2.82-2.87, 4 Ir 2.84-2.85
2 Re 0.0000 0.0000 0.4843  4 Re 2.71-2.98, 4 Ir 2.83-2.85, 4 Zr 2.87
3 Re 0.0000 0.5000 0.7521  4 Re 2.71-2.98, 4 Zr 2.82-2.86, 4 Ir 2.87
4 Ir 0.0000 0.5000 0.2426  8 Re 2.83-2.87, 4 Zr 2.84-2.85

***

No. 12
Density functional theory data (GGA-PBE) for a relaxed structure of ZrRe2Ir.

**Density of states at the Fermi level**: 6.079 states/eV/f.u.
**Offset from the most stable computed form**: 0.378 eV per atom
**Formation energy**: 92 kJ/mol of formula units
**Theoretical density**: 16.6 g/cm³
**Total magnetic moment**: 4.4 μB/cell

Unit cell a=6.3965 b=6.3965 c=6.3965 alpha=90.00 beta=90.00 gamma=90.00
Closest atoms and distances in Å follow each position.
Space group Fm-3m (No. 225)
Inequivalent atoms, fractional coordinates:
1 Zr 0.0000 0.0000 0.0000  8 Re 2.77
2 Re 0.2500 0.2500 0.2500  4 Zr 2.77, 4 Ir 2.77
3 Ir 0.0000 0.0000 0.5000  8 Re 2.77

***

No. 13
Density functional theory data (GGA-PBE) for a relaxed structure of Zr4ReIr.

**Density of states at the Fermi level**: 12.615 states/eV/f.u.
**Formation energy**: 345 kJ/mol of formula units
**Theoretical density**: 10.5 g/cm³
**Total magnetic moment**: 0.1 μB/cell

Unit cell a=7.7769 b=7.7769 c=7.7769 alpha=90.00 beta=90.00 gamma=90.00
Closest atoms and distances in Å follow each position.
Space group F-43m (No. 216)
Inequivalent atoms, fractional coordinates:
1 Zr 0.1249 0.1249 0.1249  6 Zr 2.75
2 Re 0.0000 0.0000 0.5000  12 Zr 3.22, 4 Ir 3.37
3 Ir 0.2500 0.2500 0.7500  12 Zr 3.22, 4 Re 3.37

***

No. 14
Density functional theory data (GGA-PBE) for a relaxed structure of ZrRe2Ir.

**Density of states at the Fermi level**: 4.422 states/eV/f.u.
**Offset from the most stable computed form**: 0.190 eV per atom
**Formation energy**: 19 kJ/mol of formula units
**Theoretical density**: 16.5 g/cm³
**Total magnetic moment**: 0.0 μB/cell

Unit cell a=2.8136 b=4.7963 c=4.9037 alpha=90.00 beta=94.75 gamma=90.00
Closest atoms and distances in Å follow each position.
Space group P2/m (No. 10)
Inequivalent atoms, fractional coordinates:
1 Zr 0.0000 0.0000 0.0000  4 Ir 2.72-2.93, 2 Zr 2.81, 4 Re 2.86
2 Re 0.3094 0.5000 0.7518  4 Re 2.58-2.81, 2 Ir 2.77, 2 Zr 2.86
3 Ir 0.5000 0.0000 0.5000  4 Zr 2.72-2.93, 4 Re 2.77, 2 Ir 2.81